Entry 1:
## ZnCoPb (PBEsol)

Data for a geometry-optimized ZnCoPb structure.

a b c (Å): 3.1281 3.1281 6.2290
angles (deg): 90.00 90.00 120.00
Atoms (fractional coordinates):
Zn: 0.0000 0.0000 0.0000
Co: 0.3333 0.6667 0.7350
Pb: 0.6667 0.3333 0.4136

Values from the calculation:
Energy relative to the elements = 0.465 eV per atom
Raw total energy = -3.97 eV/atom


Entry 2:
## K2ZrAl (PBEsol)

Data for a geometry-optimized K2ZrAl structure.

a b c (Å): 3.3460 5.2957 12.8963
angles (deg): 90.00 90.00 90.00
Atoms (fractional coordinates):
K: 0.0000 0.0000 0.2368
K: 0.0000 0.0000 0.7632
K: 0.5000 0.5000 0.2368
K: 0.5000 0.5000 0.7632
Zr: 0.0000 0.5000 0.5000
Zr: 0.5000 0.0000 0.5000
Al: 0.0000 0.5000 0.0000
Al: 0.5000 0.0000 0.0000

Values from the calculation:
Energy relative to the elements = 0.727 eV per atom
Raw total energy = -3.13 eV/atom


Entry 3:
## ZnMo2O4 (PBEsol)

Data for a geometry-optimized ZnMo2O4 structure.

a b c (Å): 5.9970 5.9970 5.9970
angles (deg): 60.00 60.00 60.00
Atoms (fractional coordinates):
Zn: 0.1250 0.1250 0.1250
Zn: 0.8750 0.8750 0.8750
Mo: 0.0000 0.5000 0.5000
Mo: 0.5000 0.0000 0.5000
Mo: 0.5000 0.5000 0.0000
Mo: 0.5000 0.5000 0.5000
O: 0.2523 0.2523 0.2523
O: 0.2523 0.2523 0.7430
O: 0.2523 0.7430 0.2523
O: 0.2570 0.7477 0.7477
O: 0.7430 0.2523 0.2523
O: 0.7477 0.2570 0.7477
O: 0.7477 0.7477 0.2570
O: 0.7477 0.7477 0.7477

Values from the calculation:
Raw total energy = -8.05 eV/atom


Entry 4:
## TcRuRh2 (PBEsol)

Data for a geometry-optimized TcRuRh2 structure.

a b c (Å): 2.6687 2.6687 7.5890
angles (deg): 90.00 90.00 90.00
Atoms (fractional coordinates):
Tc: 0.0000 0.0000 0.0000
Ru: 0.5000 0.5000 0.7513
Rh: 0.0000 0.0000 0.5039
Rh: 0.5000 0.5000 0.2471

Values from the calculation:
Energy relative to the elements = -0.028 eV per atom
Raw total energy = -9.46 eV/atom


Entry 5:
## LiMoOs2 (PBEsol)

Data for a geometry-optimized LiMoOs2 structure.

a b c (Å): 9.2009 2.6902 4.6220
angles (deg): 90.00 100.29 90.00
Atoms (fractional coordinates):
Li: 0.0000 0.0000 0.0000
Li: 0.5000 0.5000 0.0000
Mo: 0.2342 0.0000 0.7494
Mo: 0.7342 0.5000 0.7494
Os: 0.2592 0.5000 0.2642
Os: 0.4908 0.0000 0.4869
Os: 0.7592 0.0000 0.2642
Os: 0.9908 0.5000 0.4869

Values from the calculation:
Energy relative to the elements = 0.314 eV per atom
Raw total energy = -9.23 eV/atom


Entry 6:
## LaCdIO2 (PBEsol)

Data for a geometry-optimized LaCdIO2 structure.

a b c (Å): 4.3842 4.3842 6.7289
angles (deg): 90.00 90.00 90.00
Atoms (fractional coordinates):
La: 0.0000 0.0000 0.0000
Cd: 0.5000 0.5000 0.5000
I: 0.0000 0.0000 0.5000
O: 0.0000 0.5000 0.0000
O: 0.5000 0.0000 0.0000

Values from the calculation:
Raw total energy = -5.03 eV/atom


Entry 7:
## Cd3Cu (PBEsol)

Data for a geometry-optimized Cd3Cu structure.

a b c (Å): 3.0732 4.5808 5.1037
angles (deg): 90.00 90.00 90.00
Atoms (fractional coordinates):
Cd: 0.0000 0.0000 0.0000
Cd: 0.0000 0.5000 0.3445
Cd: 0.5000 0.0000 0.5260
Cu: 0.5000 0.5000 0.8491

Values from the calculation:
Energy relative to the elements = 0.068 eV per atom
Raw total energy = -1.91 eV/atom


Entry 8:
## KScAl2 (PBEsol)

Data for a geometry-optimized KScAl2 structure.

a b c (Å): 3.1058 4.2402 7.6565
angles (deg): 90.00 90.08 90.00
Atoms (fractional coordinates):
K: 0.0000 0.0000 0.0000
Sc: 0.0000 0.0000 0.5000
Al: 0.4995 0.5000 0.3261
Al: 0.5005 0.5000 0.6739

Values from the calculation:
Energy relative to the elements = -0.009 eV per atom
Raw total energy = -3.99 eV/atom